No. 1
## PaBeZn2O6 (PBE)

Data for a geometry-optimized PaBeZn2O6 structure.

## Properties
DOS at the Fermi energy, states/eV per atom: 0.647
Formation energy without anion corrections, eV per formula unit: -20.65
Symmetry: No. 1

a b c (Å): 5.1861 5.1820 5.8912
angles (deg): 63.68 63.61 59.98
Last column: nearest neighbours and their distance in Å.
Fractional positions:
Zn  0.5341  0.5341  0.3982  6 O 2.06-2.29
O  0.2219  0.9593  0.2445  1 Be 1.61
O  0.9599  0.5761  0.2434  1 Be 1.61
Be  0.2604  0.2597  0.2214  3 O 1.61
Zn  0.0171  0.0182  0.9442  5 O 2.03-2.26
O  0.1304  0.3988  0.7200  1 Zn 2.03, 1 Pa 2.07
O  0.3988  0.7492  0.7210  1 Zn 2.04, 1 Pa 2.06
O  0.7486  0.1307  0.7204  1 Zn 2.04, 1 Pa 2.06
O  0.5766  0.2216  0.2431  1 Be 1.61
Pa  0.8137  0.8138  0.5589  3 O 2.06-2.07

No. 2
## ZrPaBeO6 (PBE)

Data for a geometry-optimized ZrPaBeO6 structure.

## Properties
DOS at the Fermi energy, states/eV per atom: 0.655
Formation energy without anion corrections, eV per formula unit: -24.96
Symmetry: No. 149

a b c (Å): 4.8003 5.1013 5.1013
angles (deg): 120.00 90.00 90.00
Last column: nearest neighbours and their distance in Å.
Fractional positions:
O  0.7291  0.6926  0.6970  1 Be 1.91, 1 Zr 2.10
O  0.7291  0.0044  0.3074  1 Be 1.91, 1 Zr 2.10
O  0.2709  0.3030  0.3074  1 Be 1.91, 1 Zr 2.10
O  0.2709  0.6926  0.9956  1 Be 1.91, 1 Zr 2.10
O  0.7291  0.3030  0.9956  1 Be 1.91, 1 Zr 2.10
Pa  0.0000  0.3333  0.6667  6 O 2.19
O  0.2709  0.0044  0.6970  1 Be 1.91, 1 Zr 2.10
Be  0.5000  0.0000  0.0000  6 O 1.91
Zr  0.5000  0.6667  0.3333  6 O 2.10

No. 3
## BePbO3 (PBE)

Data for a geometry-optimized BePbO3 structure.

## Properties
DOS at the Fermi energy, states/eV per atom: 0.103
Formation energy without anion corrections, eV per formula unit: 0.79
Symmetry: No. 221

a b c (Å): 4.1338 4.1338 4.1338
angles (deg): 90.00 90.00 90.00
Last column: nearest neighbours and their distance in Å.
Fractional positions:
O  0.0000  0.0000  0.5000  2 Pb 2.07
Pb  0.0000  0.0000  0.0000  6 O 2.07
O  0.0000  0.5000  0.0000  2 Pb 2.07
Be  0.5000  0.5000  0.5000  12 O 2.92
O  0.5000  0.0000  0.0000  2 Pb 2.07

No. 4
## BePbO3 (PBE)

Data for a geometry-optimized BePbO3 structure.

## Properties
DOS at the Fermi energy, states/eV per atom: 0.766
Formation energy without anion corrections, eV per formula unit: -4.83
Symmetry: No. 221

a b c (Å): 3.5974 3.5974 3.5974
angles (deg): 90.00 90.00 90.00
Last column: nearest neighbours and their distance in Å.
Fractional positions:
Be  0.0000  0.0000  0.0000  6 O 1.80
O  0.0000  0.5000  0.0000  2 Be 1.80
Pb  0.5000  0.5000  0.5000  12 O 2.54
O  0.0000  0.0000  0.5000  2 Be 1.80
O  0.5000  0.0000  0.0000  2 Be 1.80

No. 5
## BePdPbO5 (PBE)

Data for a geometry-optimized BePdPbO5 structure.

## Properties
Formation energy without anion corrections, eV per formula unit: -7.00
Symmetry: No. 15

a b c (Å): 5.2880 5.2880 8.0769
angles (deg): 104.44 104.44 105.50
Last column: nearest neighbours and their distance in Å.
Fractional positions:
Be  0.6888  0.3112  0.2500  4 O 1.65-1.66
Pd  0.3535  0.6465  0.2500  5 O 1.93-2.05
O  0.3166  0.4210  0.5962  1 Be 1.65
Be  0.3112  0.6888  0.7500  4 O 1.65-1.66
Pb  0.0000  0.0000  0.5000  6 O 2.16-2.27
O  0.4210  0.3166  0.0962  1 Be 1.65
O  0.1244  0.8756  0.2500  1 Pd 1.93
O  0.3467  0.9782  0.6980  1 Be 1.66
Pb  0.0000  0.0000  0.0000  6 O 2.16-2.27
O  0.5790  0.6834  0.9038  1 Be 1.65
O  0.6834  0.5790  0.4038  1 Be 1.65
O  0.0218  0.6533  0.8020  1 Be 1.66
O  0.8756  0.1244  0.7500  1 Pd 1.93
Pd  0.6465  0.3535  0.7500  5 O 1.93-2.05
O  0.6533  0.0218  0.3020  1 Be 1.66
O  0.9782  0.3467  0.1980  1 Be 1.66

No. 6
## PuBe2PbO6 (PBE)

Data for a geometry-optimized PuBe2PbO6 structure.

## Properties
DOS at the Fermi energy, states/eV per atom: 0.237
Formation energy without anion corrections, eV per formula unit: -21.88
Symmetry: No. 15

a b c (Å): 5.7699 6.9857 6.9857
angles (deg): 88.65 74.82 74.82
Last column: nearest neighbours and their distance in Å.
Fractional positions:
O  0.8363  0.3733  0.2885  2 Be 1.65-1.75
O  0.3363  0.2885  0.3733  2 Be 1.65-1.75
O  0.7890  0.0012  0.2620  1 Be 1.63
Be  0.6538  0.2242  0.3622  4 O 1.63-1.75
Be  0.8462  0.6378  0.7758  4 O 1.63-1.75
Be  0.1538  0.3622  0.2242  4 O 1.63-1.75
O  0.1084  0.6111  0.2146  1 Be 1.69
Pu  0.2500  0.3012  0.6988  2 O 1.93
O  0.6084  0.2146  0.6111  1 Be 1.69
Pb  0.2500  0.9076  0.0924  6 O 2.47-2.59
Be  0.3462  0.7758  0.6378  4 O 1.63-1.75
O  0.2890  0.2620  0.0012  1 Be 1.63
O  0.8916  0.3889  0.7854  1 Be 1.69
O  0.6637  0.7115  0.6267  2 Be 1.65-1.75
O  0.1637  0.6267  0.7115  2 Be 1.65-1.75
O  0.3916  0.7854  0.3889  1 Be 1.69
Pb  0.7500  0.0924  0.9076  6 O 2.47-2.59
Pu  0.7500  0.6988  0.3012  2 O 1.93
O  0.2110  0.9988  0.7380  1 Be 1.63
O  0.7110  0.7380  0.9988  1 Be 1.63